No. 1
Here is crystalline ZrP2HO at its relaxed geometry from Alexandria via LeMat-Bulk. Energies are from PBE-GGA.

Cell lengths 3.3956, 3.3956, 4.9747 Å; angles 90.00, 90.00, 90.00 degrees
Fractional positions:
P  0.0000  0.5000  0.0000
P  0.5000  0.0000  0.0000
O  0.0000  0.0000  0.5000
Zr  0.5000  0.5000  0.5000
H  0.0000  0.0000  0.0000

ΔE to the lowest computed polymorph = 0.0 kJ per mole of atoms

No. 2
Here is crystalline KAgPt2 at its relaxed geometry from Alexandria via LeMat-Bulk. Energies are from PBE-GGA.

Cell lengths 2.8363, 2.8363, 10.3014 Å; angles 90.00, 90.00, 116.85 degrees
Fractional positions:
Ag  0.5000  0.5000  0.2500
K  0.5000  0.5000  0.7500
Pt  0.0000  0.0000  0.0165
Pt  0.0000  0.0000  0.4835

Formation energy = 0.1870 eV per atom

No. 3
Here is crystalline BeTe2 at its relaxed geometry from Alexandria via LeMat-Bulk. Energies are from PBE-GGA.

Cell lengths 8.2221, 8.2221, 7.6440 Å; angles 90.00, 90.00, 120.00 degrees
Fractional positions:
Be  0.3333  0.6667  0.8912
Be  0.6667  0.3333  0.3912
Be  0.6667  0.3333  0.1088
Be  0.3333  0.6667  0.6088
Te  0.0000  0.0000  0.0000
Te  0.0000  0.0000  0.5000
Te  0.8214  0.6429  0.2500
Te  0.1786  0.3571  0.7500
Te  0.3571  0.1786  0.2500
Te  0.8214  0.1786  0.2500
Te  0.1786  0.8214  0.7500
Te  0.6429  0.8214  0.7500

ΔE to the lowest computed polymorph = 69.0 kJ per mole of atoms

No. 4
Here is crystalline HfHF2 at its relaxed geometry from Alexandria via LeMat-Bulk. Energies are from PBE-GGA.

Cell lengths 7.9130, 7.9130, 7.9130 Å; angles 24.22, 24.22, 24.22 degrees
Fractional positions:
H  0.5000  0.5000  0.5000
Hf  0.0000  0.0000  0.0000
F  0.9170  0.9170  0.9170
F  0.0830  0.0830  0.0830

ΔE to the lowest computed polymorph = 62.2 kJ per mole of atoms

No. 5
Here is crystalline Tb2SmHo4Tm at its relaxed geometry from Alexandria via LeMat-Bulk. Energies are from PBE-GGA.

Cell lengths 5.0012, 5.0026, 11.2029 Å; angles 63.47, 90.00, 90.00 degrees
Fractional positions:
Tb  0.0000  0.0000  0.0000
Tb  0.5000  0.0000  0.5000
Sm  0.5000  0.5000  0.0000
Ho  0.0000  0.7541  0.7477
Ho  0.0000  0.2459  0.2523
Ho  0.5000  0.7460  0.2522
Ho  0.5000  0.2540  0.7478
Tm  0.0000  0.5000  0.5000

Formation energy = 0.0187 eV per atom

No. 6
Here is crystalline HfTiMoAu at its relaxed geometry from Alexandria via LeMat-Bulk. Energies are from PBE-GGA.

Cell lengths 3.3271, 3.3271, 6.4082 Å; angles 90.00, 90.00, 90.00 degrees
Fractional positions:
Hf  0.5000  0.5000  0.5929
Ti  0.5000  0.5000  0.1259
Mo  0.0000  0.0000  0.3434
Au  0.0000  0.0000  0.8657

ΔE to the lowest computed polymorph = 0.0 kJ per mole of atoms
Formation energy = -0.3537 eV per atom

No. 7
Here is crystalline CaLa2BO at its relaxed geometry from Alexandria via LeMat-Bulk. Energies are from PBE-GGA.

Cell lengths 4.8515, 4.9308, 4.8515 Å; angles 90.00, 90.00, 90.00 degrees
Fractional positions:
Ca  0.5000  0.5000  0.5000
B  0.0000  0.5000  0.0000
O  0.0000  0.0000  0.0000
La  0.0000  0.0000  0.5000
La  0.5000  0.0000  0.0000

E_tot = -5.053 eV/atom

No. 8
Here is crystalline HfIr2Cl at its relaxed geometry from Alexandria via LeMat-Bulk. Energies are from PBE-GGA.

Cell lengths 5.2177, 5.2177, 7.3735 Å; angles 69.28, 69.28, 90.00 degrees
Fractional positions:
Ir  0.5628  0.1250  0.2500
Ir  0.1872  0.6250  0.2500
Ir  0.3750  0.4372  0.7500
Ir  0.8750  0.8128  0.7500
Hf  0.0000  0.0000  0.0000
Hf  0.7500  0.2500  0.5000
Cl  0.5000  0.5000  0.0000
Cl  0.2500  0.7500  0.5000

ΔE to the lowest computed polymorph = 20.7 kJ per mole of atoms

No. 9
Here is crystalline AcPmMgSb at its relaxed geometry from Alexandria via LeMat-Bulk. Energies are from PBE-GGA.

Cell lengths 5.6193, 5.6193, 5.6193 Å; angles 60.00, 60.00, 60.00 degrees
Fractional positions:
Sb  0.0000  0.0000  0.0000
Ac  0.7500  0.7500  0.7500
Mg  0.5000  0.5000  0.5000
Pm  0.2500  0.2500  0.2500

E_tot = -4.063 eV/atom

No. 10
Here is crystalline Nd5Ho3Er3 at its relaxed geometry from Alexandria via LeMat-Bulk. Energies are from PBE-GGA.

Cell lengths 3.4503, 11.2518, 11.2518 Å; angles 120.00, 90.00, 90.00 degrees
Fractional positions:
Nd  0.5000  0.6667  0.3333
Nd  0.5000  0.3333  0.6667
Nd  0.5000  0.3385  0.0000
Nd  0.5000  0.6615  0.6615
Nd  0.5000  0.0000  0.3385
Ho  0.0000  0.5957  0.0000
Ho  0.0000  0.0000  0.5957
Ho  0.0000  0.4043  0.4043
Er  0.5000  0.8407  0.0000
Er  0.5000  0.1593  0.1593
Er  0.5000  0.0000  0.8407

ΔE to the lowest computed polymorph = 0.0 kJ per mole of atoms
Formation energy = 0.3170 eV per atom

No. 11
Here is crystalline Ho6SiSb3 at its relaxed geometry from Alexandria via LeMat-Bulk. Energies are from PBE-GGA.

Cell lengths 7.0005, 8.1616, 10.0770 Å; angles 90.00, 89.47, 90.00 degrees
Fractional positions:
Ho  0.6612  0.1662  0.9415
Ho  0.6413  0.1884  0.5598
Ho  0.6849  0.4369  0.2593
Ho  0.3151  0.5631  0.7407
Ho  0.3587  0.8116  0.4402
Ho  0.3388  0.8338  0.0585
Ho  0.1612  0.3338  0.4415
Ho  0.1413  0.3116  0.0598
Ho  0.1849  0.0631  0.7593
Ho  0.8151  0.9369  0.2407
Ho  0.8587  0.6884  0.9402
Ho  0.8388  0.6662  0.5585
Si  0.5000  0.5000  0.5000
Si  0.0000  0.0000  0.0000
Sb  0.5621  0.8792  0.7472
Sb  0.5000  0.5000  0.0000
Sb  0.4379  0.1208  0.2528
Sb  0.0621  0.6208  0.2472
Sb  0.0000  0.0000  0.5000
Sb  0.9379  0.3792  0.7528

E_tot = -5.272 eV/atom

No. 12
Here is crystalline PrPu2Ru2 at its relaxed geometry from Alexandria via LeMat-Bulk. Energies are from PBE-GGA.

Cell lengths 4.4737, 4.4737, 11.9286 Å; angles 100.81, 100.81, 90.00 degrees
Fractional positions:
Pr  0.6349  0.6349  0.2698
Pr  0.3651  0.3651  0.7302
Pu  0.0000  0.5000  0.0000
Pu  0.1850  0.1850  0.3701
Pu  0.5000  0.0000  0.0000
Pu  0.8150  0.8150  0.6299
Ru  0.7500  0.2500  0.5000
Ru  0.9237  0.9237  0.8475
Ru  0.0763  0.0763  0.1525
Ru  0.2500  0.7500  0.5000

ΔE to the lowest computed polymorph = 0.0 kJ per mole of atoms
Formation energy = -0.0626 eV per atom